Entry 1:
This record from OQMD via LeMat-Bulk describes a relaxed structure of YTmAl2Pt4. The functional is PBE-GGA.

Cell and atoms, written as POSCAR:
```
YTmAl2Pt4
1.0
4.333 0.000 0.000
-2.167 3.753 0.000
0.000 0.000 9.209
Y Tm Al Pt
1 1 2 4
Direct
0.000 0.000 0.000
0.667 0.333 0.500
0.333 0.667 0.251
0.333 0.667 0.749
0.000 0.000 0.338
0.000 0.000 0.662
0.667 0.333 0.170
0.667 0.333 0.830
```

Values from the calculation:
- Raw total energy: -52.23 eV/cell
- Crystal system: hexagonal



Entry 2:
This record from OQMD via LeMat-Bulk describes a relaxed structure of UAlPt. The functional is PBE-GGA.

Cell and atoms, written as POSCAR:
```
UAlPt
1.0
8.292 0.000 0.000
-4.146 7.181 0.000
0.000 0.000 2.835
U Al Pt
3 3 3
Direct
0.000 0.307 0.000
0.307 0.000 0.000
0.693 0.693 0.000
0.000 0.000 0.500
0.333 0.667 0.000
0.667 0.333 0.000
0.000 0.639 0.500
0.361 0.361 0.500
0.639 0.000 0.500
```

Values from the calculation:
- Raw total energy: -65.51 eV/cell
- Crystal system: hexagonal



Entry 3:
This record from OQMD via LeMat-Bulk describes a relaxed structure of UAlPt. The functional is PBE-GGA.

Cell and atoms, written as POSCAR:
```
UAlPt
1.0
0.000 3.298 3.298
3.298 0.000 3.298
3.298 3.298 0.000
U Al Pt
1 1 1
Direct
0.000 0.000 0.000
0.750 0.750 0.750
0.250 0.250 0.250
```

Values from the calculation:
- Raw total energy: -20.16 eV/cell
- Crystal system: cubic



Entry 4:
This record from OQMD via LeMat-Bulk describes a relaxed structure of UAlPt. The functional is PBE-GGA.

Cell and atoms, written as POSCAR:
```
UAlPt
1.0
0.000 3.226 3.226
3.226 0.000 3.226
3.226 3.226 0.000
U Al Pt
1 1 1
Direct
0.000 0.000 0.000
0.500 0.500 0.500
0.750 0.750 0.750
```

Values from the calculation:
- Raw total energy: -22.21 eV/cell
- Crystal system: cubic



Question: The highest raw total energy belongs to which entry?
Answer: number 3



Question: Look up the raw total energy of the first one.
Answer: -52.23 eV/cell



Question: What is the formula in the third record?
Answer: UAlPt